# 1
Here is a relaxed RbNaNpSe3 crystal from the Alexandria database. Energies are from PBE-GGA.

Computed properties:
As for the electronic total energy: -65.38 eV per cell. Its space-group type is P2_1/m. As for the uncorrected formation energy: -1.17 eV per atom.

```
12
Lattice="4.258 0.000 0.000 0.000 10.288 1.942 0.000 -1.298 8.528" Properties=species:S:1:pos:R:3 pbc="T T T"
Se 1.064 1.821 1.098
Se 1.064 3.973 7.890
Se 3.193 5.017 2.580
Se 3.193 0.983 6.230
Se 1.064 8.007 4.239
Se 3.193 7.169 9.372
Na 3.193 9.861 3.513
Na 1.064 -0.871 6.957
Np 1.064 6.831 1.814
Np 3.193 2.159 8.655
Rb 1.064 2.752 4.368
Rb 3.193 6.237 6.101
```


# 2
Here is a relaxed Li2ScGa4 crystal from the Alexandria database. Energies are from PBE-GGA.

Computed properties:
The value obtained for the calculated formation energy is -0.379 eV/atom. As for the electronic total energy: -24.92 eV per cell. Its space-group type is Immm.

```
7
Lattice="4.159 0.000 -0.948 -0.165 3.101 -0.724 -0.029 0.570 9.465" Properties=species:S:1:pos:R:3 pbc="T T T"
Sc 2.079 0.000 -0.474
Ga 2.583 2.182 1.733
Ga 0.195 1.849 0.853
Ga 3.769 1.822 6.939
Ga 1.381 1.489 6.059
Li 3.171 2.816 4.312
Li 0.793 0.855 3.480
```


> Which value of electronic total energy does entry 1 give?

-65.38 eV per cell


> Which formula does entry 1 have?

RbNaNpSe3


> Which formula does entry 2 have?

Li2ScGa4